# 1
{
  "formula": "LaCeGe",
  "functional": "GGA-PBE",
  "state": "relaxed",
  "lattice_angstrom": [[0.000, 6.782, 6.819], [3.945, 0.000, 6.819], [3.945, 6.782, 0.000]],
  "species": ["La", "La", "La", "La", "Ce", "Ce", "Ce", "Ce", "Ge", "Ge", "Ge", "Ge"],
  "fractional_positions": [[0.000, 0.000, 0.000], [0.000, 0.000, 0.500], [0.000, 0.500, 0.000], [0.500, 0.000, 0.000], [0.276, 0.276, 0.474], [0.474, 0.474, 0.276], [0.526, 0.526, 0.724], [0.724, 0.724, 0.526], [0.179, 0.571, 0.179], [0.429, 0.821, 0.429], [0.571, 0.179, 0.571], [0.821, 0.429, 0.821]],
  "total_energy_ev_per_atom": -5.570,
  "e_form_kj_per_mol_atoms": -39.6,
  "space_group": "Fddd (70)"
}

***

# 2
{
  "formula": "La5CeGe4",
  "functional": "GGA-PBE",
  "state": "relaxed",
  "lattice_angstrom": [[8.003, -2.620, 0.000], [8.003, 2.620, 0.000], [-0.165, 0.000, 7.156]],
  "species": ["La", "La", "La", "La", "La", "Ce", "Ge", "Ge", "Ge", "Ge"],
  "fractional_positions": [[0.000, 0.000, 0.000], [0.334, 0.334, 0.492], [0.337, 0.337, 0.010], [0.663, 0.663, 0.990], [0.666, 0.666, 0.508], [0.000, 0.000, 0.500], [0.176, 0.176, 0.749], [0.491, 0.491, 0.743], [0.509, 0.509, 0.257], [0.824, 0.824, 0.251]],
  "total_energy_ev_per_atom": -5.534,
  "e_form_kj_per_mol_atoms": -60.7,
  "space_group": "C2/m (12)"
}

***

# 3
{
  "formula": "La3CeGe3",
  "functional": "GGA-PBE",
  "state": "relaxed",
  "lattice_angstrom": [[4.209, -6.499, 0.000], [4.209, 6.499, 0.000], [-0.451, 0.000, 7.897]],
  "species": ["La", "La", "La", "La", "La", "La", "Ce", "Ce", "Ge", "Ge", "Ge", "Ge", "Ge", "Ge"],
  "fractional_positions": [[0.168, 0.832, 0.000], [0.225, 0.775, 0.500], [0.374, 0.374, 0.132], [0.626, 0.626, 0.868], [0.775, 0.225, 0.500], [0.832, 0.168, 0.000], [0.247, 0.247, 0.587], [0.753, 0.753, 0.413], [0.055, 0.055, 0.274], [0.157, 0.494, 0.797], [0.494, 0.157, 0.797], [0.506, 0.843, 0.203], [0.843, 0.506, 0.203], [0.945, 0.945, 0.726]],
  "total_energy_ev_per_atom": -5.484,
  "e_form_kj_per_mol_atoms": -52.7,
  "space_group": "C2/m (12)"
}

***

# 4
{
  "formula": "LaCe3Ge4",
  "functional": "GGA-PBE",
  "state": "relaxed",
  "lattice_angstrom": [[-1.995, 3.335, 8.131], [1.995, -3.335, 8.131], [1.995, 3.335, -8.131]],
  "species": ["La", "Ce", "Ce", "Ce", "Ge", "Ge", "Ge", "Ge"],
  "fractional_positions": [[0.000, 0.000, 0.000], [0.197, 0.697, 0.500], [0.500, 0.500, 0.000], [0.803, 0.303, 0.500], [0.179, 0.867, 0.312], [0.445, 0.133, 0.312], [0.555, 0.867, 0.688], [0.821, 0.133, 0.688]],
  "total_energy_ev_per_atom": -5.726,
  "e_form_kj_per_mol_atoms": -55.6,
  "space_group": "Immm (71)"
}

***

# 5
{
  "formula": "La3CeGe4",
  "functional": "GGA-PBE",
  "state": "relaxed",
  "lattice_angstrom": [[-2.165, 3.299, 8.191], [2.165, -3.299, 8.191], [2.165, 3.299, -8.191]],
  "species": ["La", "La", "La", "Ce", "Ge", "Ge", "Ge", "Ge"],
  "fractional_positions": [[0.000, 0.000, 0.000], [0.305, 0.805, 0.500], [0.695, 0.195, 0.500], [0.500, 0.500, 0.000], [0.063, 0.372, 0.691], [0.319, 0.628, 0.691], [0.681, 0.372, 0.309], [0.937, 0.628, 0.309]],
  "total_energy_ev_per_atom": -5.555,
  "e_form_kj_per_mol_atoms": -63.4,
  "space_group": "Immm (71)"
}

***

# 6
{
  "formula": "LaCeGe",
  "functional": "GGA-PBE",
  "state": "relaxed",
  "lattice_angstrom": [[-2.199, 2.199, 8.592], [2.199, -2.199, 8.592], [2.199, 2.199, -8.592]],
  "species": ["La", "La", "Ce", "Ce", "Ge", "Ge"],
  "fractional_positions": [[0.180, 0.180, 0.000], [0.820, 0.820, 0.000], [0.000, 0.500, 0.500], [0.500, 0.000, 0.500], [0.370, 0.370, 0.000], [0.630, 0.630, 0.000]],
  "total_energy_ev_per_atom": -5.814,
  "e_form_kj_per_mol_atoms": -63.1,
  "space_group": "I4/mmm (139)"
}

***

# 7
{
  "formula": "La3Ce2Ge4",
  "functional": "GGA-PBE",
  "state": "relaxed",
  "lattice_angstrom": [[8.195, 0.000, 0.000], [0.000, 8.094, 0.000], [-3.057, 0.000, 7.406]],
  "species": ["La", "La", "La", "La", "La", "La", "Ce", "Ce", "Ce", "Ce", "Ge", "Ge", "Ge", "Ge", "Ge", "Ge", "Ge", "Ge"],
  "fractional_positions": [[0.000, 0.000, 0.000], [0.000, 0.500, 0.500], [0.302, 0.181, 0.434], [0.302, 0.319, 0.934], [0.698, 0.681, 0.066], [0.698, 0.819, 0.566], [0.267, 0.664, 0.283], [0.267, 0.836, 0.783], [0.733, 0.164, 0.217], [0.733, 0.336, 0.717], [0.000, 0.121, 0.618], [0.000, 0.379, 0.118], [0.000, 0.621, 0.882], [0.000, 0.879, 0.382], [0.417, 0.541, 0.677], [0.417, 0.959, 0.177], [0.583, 0.041, 0.823], [0.583, 0.459, 0.323]],
  "total_energy_ev_per_atom": -5.793,
  "e_form_kj_per_mol_atoms": -75.3,
  "space_group": "P2_1/c (14)"
}

***

# 8
{
  "formula": "La2CeGe6",
  "functional": "GGA-PBE",
  "state": "relaxed",
  "lattice_angstrom": [[7.645, 0.000, 0.000], [-3.822, 6.621, 0.000], [0.000, 0.000, 4.210]],
  "species": ["La", "La", "Ce", "Ge", "Ge", "Ge", "Ge", "Ge", "Ge"],
  "fractional_positions": [[0.333, 0.667, 0.000], [0.667, 0.333, 0.000], [0.000, 0.000, 0.000], [0.000, 0.331, 0.500], [0.000, 0.669, 0.500], [0.331, 0.000, 0.500], [0.331, 0.331, 0.500], [0.669, 0.000, 0.500], [0.669, 0.669, 0.500]],
  "total_energy_ev_per_atom": -5.457,
  "e_form_kj_per_mol_atoms": -60.2,
  "space_group": "P6/mmm (191)"
}

***

# 9
{
  "formula": "LaCeGe2",
  "functional": "GGA-PBE",
  "state": "relaxed",
  "lattice_angstrom": [[2.178, 1.258, 6.978], [-2.178, 1.258, 6.978], [0.000, -2.515, 6.978]],
  "species": ["La", "Ce", "Ge", "Ge"],
  "fractional_positions": [[0.000, 0.000, 0.000], [0.500, 0.500, 0.500], [0.243, 0.243, 0.243], [0.757, 0.757, 0.757]],
  "total_energy_ev_per_atom": -5.665,
  "e_form_kj_per_mol_atoms": -61.8,
  "space_group": "R-3m (166)"
}

***

# 10
{
  "formula": "LaCe4Ge4",
  "functional": "GGA-PBE",
  "state": "relaxed",
  "lattice_angstrom": [[9.043, 0.000, 0.000], [0.000, 9.043, 0.000], [0.000, 0.000, 6.100]],
  "species": ["La", "La", "Ce", "Ce", "Ce", "Ce", "Ce", "Ce", "Ce", "Ce", "Ge", "Ge", "Ge", "Ge", "Ge", "Ge", "Ge", "Ge"],
  "fractional_positions": [[0.250, 0.250, 0.250], [0.750, 0.750, 0.750], [0.061, 0.631, 0.091], [0.131, 0.939, 0.591], [0.369, 0.561, 0.591], [0.439, 0.869, 0.091], [0.561, 0.131, 0.909], [0.631, 0.439, 0.409], [0.869, 0.061, 0.409], [0.939, 0.369, 0.909], [0.042, 0.621, 0.596], [0.121, 0.958, 0.096], [0.379, 0.542, 0.096], [0.458, 0.879, 0.596], [0.542, 0.121, 0.404], [0.621, 0.458, 0.904], [0.879, 0.042, 0.904], [0.958, 0.379, 0.404]],
  "total_energy_ev_per_atom": -5.696,
  "e_form_kj_per_mol_atoms": -44.3,
  "space_group": "P4_2/n (86)"
}

***

# 11
{
  "formula": "LaCeGe",
  "functional": "GGA-PBE",
  "state": "relaxed",
  "lattice_angstrom": [[0.000, 3.583, 3.583], [3.583, 0.000, 3.583], [3.583, 3.583, 0.000]],
  "species": ["La", "Ce", "Ge"],
  "fractional_positions": [[0.000, 0.000, 0.000], [0.500, 0.500, 0.500], [0.250, 0.250, 0.250]],
  "total_energy_ev_per_atom": -5.594,
  "e_form_kj_per_mol_atoms": -41.9,
  "space_group": "F-43m (216)"
}

***

# 12
{
  "formula": "LaCeGe2",
  "functional": "GGA-PBE",
  "state": "relaxed",
  "lattice_angstrom": [[4.101, 0.000, 0.000], [0.000, 2.264, 5.604], [0.000, -2.264, 5.604]],
  "species": ["La", "Ce", "Ge", "Ge"],
  "fractional_positions": [[0.000, 0.000, 0.000], [0.500, 0.276, 0.276], [0.000, 0.721, 0.721], [0.500, 0.563, 0.563]],
  "total_energy_ev_per_atom": -5.781,
  "e_form_kj_per_mol_atoms": -73.1,
  "space_group": "Amm2 (38)"
}